w.
Compound: KAl2Ag
Source: Alexandria via LeMat-Bulk
Functional: PBE
Structure: optimized geometry

a = 3.4074 Å, b = 3.4074 Å, c = 8.2070 Å
α = 90.00°, β = 90.00°, γ = 90.00°
Space group P4mm (No. 99)
Symmetry-distinct sites (fractional):
K1 0.0000 0.0000 0.0000 [1 per cell]
Al1 0.0000 0.0000 0.4921 [1 per cell]
Al2 0.5000 0.5000 0.6791 [1 per cell]
Ag1 0.5000 0.5000 0.3329 [1 per cell]

The value obtained for the density is 3.5 g/cm3. Its calculated volume is 95.29 Å³ per cell.

=====

x.
Compound: KAl2Ag
Source: Alexandria via LeMat-Bulk
Functional: PBE
Structure: optimized geometry

a = 7.2144 Å, b = 7.3082 Å, c = 4.7300 Å
α = 90.00°, β = 129.97°, γ = 90.00°
Space group C2 (No. 5)
Symmetry-distinct sites (fractional):
K1 0.0000 0.0000 0.0000 [2 per cell]
Al1 0.0000 0.4932 0.0000 [2 per cell]
Al2 0.0000 0.7064 0.5000 [2 per cell]
Ag1 0.0000 0.3039 0.5000 [2 per cell]

The value obtained for the density is 3.5 g/cm3. Its calculated volume is 191.12 Å³ per cell.

=====

List of relative energies, unit kJ/mol of atoms: w 0.0; x 17.4

=====

w.
Compound: KAl2Ag
Source: Alexandria via LeMat-Bulk
Functional: PBE
Structure: optimized geometry

a = 2.8785 Å, b = 4.1960 Å, c = 7.8716 Å
α = 90.00°, β = 90.25°, γ = 90.00°
Space group P2/m (No. 10)
Symmetry-distinct sites (fractional):
K1 0.0000 0.0000 0.0000 [1 per cell]
Al1 0.4975 0.5000 0.6734 [2 per cell]
Ag1 0.0000 0.0000 0.5000 [1 per cell]

The value obtained for the density is 3.5 g/cm3. Its calculated volume is 95.07 Å³ per cell.

=====

x.
Compound: KAl2Ag
Source: Alexandria via LeMat-Bulk
Functional: PBE
Structure: optimized geometry

a = 3.2890 Å, b = 3.2890 Å, c = 29.8870 Å
α = 90.00°, β = 90.00°, γ = 120.00°
Space group R-3m (No. 166, hexagonal axes)
Symmetry-distinct sites (fractional):
K1 0.0000 0.0000 0.0000 [3 per cell]
Al1 0.0000 0.0000 0.2344 [6 per cell]
Ag1 0.0000 0.0000 0.5000 [3 per cell]

The value obtained for the density is 3.6 g/cm3. Its calculated volume is 280.00 Å³ per cell.

=====

List of relative energies, unit kJ/mol of atoms: w 0.0; x 17.5

=====

w.
Compound: K2AlAg2
Source: Alexandria via LeMat-Bulk
Functional: PBE
Structure: optimized geometry

a = 7.1315 Å, b = 7.1315 Å, c = 5.6585 Å
α = 90.00°, β = 90.00°, γ = 90.00°
Space group P4/mbm (No. 127)
Symmetry-distinct sites (fractional):
K1 0.1750 0.3250 0.0000 [4 per cell]
Al1 0.0000 0.0000 0.5000 [2 per cell]
Ag1 0.1456 0.6456 0.5000 [4 per cell]

The value obtained for the density is 3.7 g/cm3. Its calculated volume is 287.79 Å³ per cell.

=====

x.
Compound: K2AlAg2
Source: Alexandria via LeMat-Bulk
Functional: PBE
Structure: optimized geometry

a = 4.6221 Å, b = 4.6221 Å, c = 30.7161 Å
α = 90.00°, β = 90.00°, γ = 120.00°
Space group R-3m (No. 166, hexagonal axes)
Symmetry-distinct sites (fractional):
K1 0.0000 0.0000 0.0721 [6 per cell]
Al1 0.0000 0.0000 0.5000 [3 per cell]
Ag1 0.0000 0.0000 0.1812 [6 per cell]

The value obtained for the density is 2.8 g/cm3. Its calculated volume is 568.29 Å³ per cell.

=====

List of relative energies, unit kJ/mol of atoms: w 13.8; x 0.0

=====

w.
Compound: KAl2Ag2
Source: Alexandria via LeMat-Bulk
Functional: PBE
Structure: optimized geometry

a = 4.3738 Å, b = 4.3738 Å, c = 12.2603 Å
α = 90.00°, β = 90.00°, γ = 90.00°
Space group I4/mmm (No. 139)
Symmetry-distinct sites (fractional):
K1 0.0000 0.0000 0.0000 [2 per cell]
Al1 0.0000 0.5000 0.2500 [4 per cell]
Ag1 0.0000 0.0000 0.3759 [4 per cell]

The value obtained for the density is 4.4 g/cm3. Its calculated volume is 234.54 Å³ per cell.

=====

x.
Compound: KAl2Ag2
Source: Alexandria via LeMat-Bulk
Functional: PBE
Structure: optimized geometry

a = 4.8563 Å, b = 4.8563 Å, c = 10.0654 Å
α = 90.00°, β = 90.00°, γ = 90.00°
Space group I4/mmm (No. 139)
Symmetry-distinct sites (fractional):
K1 0.0000 0.0000 0.0000 [2 per cell]
Al1 0.0000 0.0000 0.3615 [4 per cell]
Ag1 0.0000 0.5000 0.2500 [4 per cell]

The value obtained for the density is 4.3 g/cm3. Its calculated volume is 237.38 Å³ per cell.

=====

y.
Compound: KAl2Ag2
Source: Alexandria via LeMat-Bulk
Functional: PBE
Structure: optimized geometry

a = 8.5021 Å, b = 8.5021 Å, c = 2.8395 Å
α = 90.00°, β = 90.00°, γ = 90.00°
Space group P4/mbm (No. 127)
Symmetry-distinct sites (fractional):
K1 0.0000 0.0000 0.0000 [2 per cell]
Al1 0.1229 0.3771 0.0000 [4 per cell]
Ag1 0.1673 0.6673 0.5000 [4 per cell]

The value obtained for the density is 5.0 g/cm3. Its calculated volume is 205.26 Å³ per cell.

=====

List of relative energies, unit kJ/mol of atoms: w 3.5; x 2.8; y 0.0